# Hf2H2Au (PBE, relaxed)
data_Hf2H2Au
_chemical_formula_sum 'Hf4 H4 Au2'
_space_group_name_H-M_alt 'I 4/m m m'
_space_group_IT_number 139
_space_group_name_Hall '-I 4 2'
_cell_length_a 3.236
_cell_length_b 3.236
_cell_length_c 12.476
_cell_angle_alpha 90.00
_cell_angle_beta 90.00
_cell_angle_gamma 90.00
loop_
_atom_site_label
_atom_site_fract_x
_atom_site_fract_y
_atom_site_fract_z
_atom_site_occupancy
Hf1 0.000 0.000 0.146 1
H1 0.000 0.500 0.250 1
Au1 0.000 0.000 0.500 1
# calculated total energy	-0.4745	Ry per atom
# V	13.06	A^3/atom